# 1
The following is a meta-GGA SCAN calculation of Be2NiAu at its PBEsol-relaxed geometry, from Alexandria via LeMat-Bulk.

Unit cell a=3.0035 b=3.6583 c=7.8951 alpha=90.00 beta=90.00 gamma=90.00
Space group Imm2 (No. 44)
One atom of each set of equivalent atoms:
Be 0.0000 0.0000 0.0000
Be 0.0000 0.5000 0.2480
Ni 0.0000 0.5000 0.7243
Au 0.0000 0.0000 0.4916

Values from the calculation:
- Formation energy from the elements: -0.2927 eV/atom
- Crystal system: orthorhombic

# 2
The following is a meta-GGA SCAN calculation of BeNiAu2 at its PBEsol-relaxed geometry, from Alexandria via LeMat-Bulk.

Unit cell a=6.0291 b=6.0291 c=6.0291 alpha=90.00 beta=90.00 gamma=90.00
Space group F-43m (No. 216)
One atom of each set of equivalent atoms:
Be 0.0000 0.0000 0.0000
Ni 0.2500 0.2500 0.7500
Au 0.0000 0.0000 0.5000
Au 0.2500 0.2500 0.2500

Values from the calculation:
- Formation energy from the elements: 0.0819 eV/atom
- Crystal system: cubic

no.,size of the total moment (μB/atom)
1,0.000
2,0.000